[1]
# RbGa3Tc

An optimized crystal structure of RbGa3Tc (PBE-GGA, Alexandria via LeMat-Bulk).

Computed properties:
- DFT total energy: -3.92 eV/atom
- DFT formation energy: 0.159 eV per atom
- Density: 5.80 Mg/m³
- N(E_F): 3.868 states/eV/f.u.

a b c (Å): 7.394 7.394 4.898
angles (deg): 90.00 90.00 122.90
Sites, in units of the cell vectors:
1 Rb 0.068 0.932 0.750
2 Rb 0.932 0.068 0.250
3 Ga 0.086 0.565 0.250
4 Ga 0.435 0.914 0.250
5 Ga 0.500 0.500 0.000
6 Ga 0.500 0.500 0.500
7 Ga 0.565 0.086 0.750
8 Ga 0.914 0.435 0.750
9 Tc 0.330 0.670 0.750
10 Tc 0.670 0.330 0.250

***

[2]
# PuScSiAg

An optimized crystal structure of PuScSiAg (PBE-GGA, Alexandria via LeMat-Bulk).

Computed properties:
- DFT total energy: -7.48 eV/atom
- Raw formation energy: -0.2478 eV per atom
- Density: 8.34 Mg/m³
- N(E_F): 7.510 states/eV/f.u.

a b c (Å): 6.967 6.967 6.967
angles (deg): 90.00 90.00 90.00
Sites, in units of the cell vectors:
1 Pu 0.000 0.000 0.000
2 Pu 0.000 0.500 0.500
3 Pu 0.500 0.000 0.500
4 Pu 0.500 0.500 0.000
5 Sc 0.000 0.000 0.500
6 Sc 0.000 0.500 0.000
7 Sc 0.500 0.000 0.000
8 Sc 0.500 0.500 0.500
9 Si 0.250 0.250 0.750
10 Si 0.250 0.750 0.250
11 Si 0.750 0.250 0.250
12 Si 0.750 0.750 0.750
13 Ag 0.250 0.250 0.250
14 Ag 0.250 0.750 0.750
15 Ag 0.750 0.250 0.750
16 Ag 0.750 0.750 0.250

***

[3]
# PrTm2Ti

An optimized crystal structure of PrTm2Ti (PBE-GGA, Alexandria via LeMat-Bulk).

Computed properties:
- DFT total energy: -4.97 eV/atom
- DFT formation energy: 0.434 eV per atom
- Density: 7.59 Mg/m³
- N(E_F): 4.936 states/eV/f.u.

a b c (Å): 3.361 3.361 35.322
angles (deg): 90.00 90.00 120.00
Sites, in units of the cell vectors:
1 Pr 0.000 0.000 0.000
2 Pr 0.333 0.667 0.667
3 Pr 0.667 0.333 0.333
4 Tm 0.000 0.000 0.418
5 Tm 0.000 0.000 0.582
6 Tm 0.333 0.667 0.084
7 Tm 0.333 0.667 0.249
8 Tm 0.667 0.333 0.751
9 Tm 0.667 0.333 0.916
10 Ti 0.000 0.000 0.500
11 Ti 0.333 0.667 0.167
12 Ti 0.667 0.333 0.833